This record from Alexandria describes a relaxed MgSbP2 crystal. The functional is PBEsol.

Cell lengths 6.696, 6.696, 6.696 Å; angles 90.00, 90.00, 90.00 degrees
Space group Fm-3m (No. 225)
One atom of each set of equivalent atoms:
Mg: 0.000 0.000 0.000 (multiplicity 4)
Sb: 0.000 0.000 0.500 (multiplicity 4)
P: 0.250 0.250 0.250 (multiplicity 8)

E_form (uncorrected) = 0.169 eV/atom
spin magnetization = 0.000 μB per atom
theoretical density = 4.60 g cm⁻³
relative energy among the computed polymorphs = 0.16 eV/f.u.
E_tot = -0.158 hartree per atom



This record from Alexandria describes a relaxed MgSbP crystal. The functional is PBEsol.

Cell lengths 3.605, 3.605, 10.920 Å; angles 90.00, 90.00, 90.00 degrees
Space group I4mm (No. 107)
One atom of each set of equivalent atoms:
Mg: 0.000 0.000 0.000 (multiplicity 2)
Sb: 0.000 0.000 0.294 (multiplicity 2)
P: 0.000 0.000 0.520 (multiplicity 2)

E_form (uncorrected) = -0.109 eV/atom
spin magnetization = 0.000 μB per atom
theoretical density = 4.14 g cm⁻³
E_tot = -0.152 hartree per atom



This record from Alexandria describes a relaxed Mg2SbP crystal. The functional is PBEsol.

Cell lengths 3.280, 5.593, 4.628 Å; angles 90.00, 90.00, 90.00 degrees
Space group Pmm2 (No. 25)
One atom of each set of equivalent atoms:
Mg: 0.000 0.000 0.000 (multiplicity 1)
Mg: 0.500 0.500 0.375 (multiplicity 1)
Sb: 0.500 0.000 0.504 (multiplicity 1)
P: 0.000 0.500 0.899 (multiplicity 1)

E_form (uncorrected) = -0.148 eV/atom
spin magnetization = 0.000 μB per atom
theoretical density = 3.94 g cm⁻³
relative energy among the computed polymorphs = 0.41 eV/f.u.
E_tot = -0.132 hartree per atom



This record from Alexandria describes a relaxed Mg2SbP crystal. The functional is PBEsol.

Cell lengths 6.908, 6.908, 6.908 Å; angles 90.00, 90.00, 90.00 degrees
Space group F-43m (No. 216)
One atom of each set of equivalent atoms:
Mg: 0.000 0.000 0.000 (multiplicity 4)
Mg: 0.250 0.250 0.250 (multiplicity 4)
Sb: 0.250 0.250 0.750 (multiplicity 4)
P: 0.000 0.000 0.500 (multiplicity 4)

E_form (uncorrected) = 0.124 eV/atom
spin magnetization = 0.000 μB per atom
theoretical density = 4.06 g cm⁻³
relative energy among the computed polymorphs = 1.50 eV/f.u.
E_tot = -0.122 hartree per atom



This record from Alexandria describes a relaxed Mg2SbP crystal. The functional is PBEsol.

Cell lengths 11.568, 3.890, 4.061 Å; angles 90.00, 110.18, 90.00 degrees
Space group Cm (No. 8)
One atom of each set of equivalent atoms:
Mg: 0.000 0.000 0.000 (multiplicity 2)
Mg: 0.216 0.500 0.472 (multiplicity 2)
Sb: 0.431 0.000 0.428 (multiplicity 2)
P: 0.215 0.000 0.950 (multiplicity 2)

E_form (uncorrected) = -0.250 eV/atom
spin magnetization = 0.000 μB per atom
theoretical density = 3.90 g cm⁻³
relative energy among the computed polymorphs = 0.00 eV/f.u.
E_tot = -0.136 hartree per atom



This record from Alexandria describes a relaxed MgSbP2 crystal. The functional is PBEsol.

Cell lengths 4.690, 4.690, 3.347 Å; angles 90.00, 90.00, 90.00 degrees
Space group P4/mmm (No. 123)
One atom of each set of equivalent atoms:
Mg: 0.000 0.000 0.000 (multiplicity 1)
Sb: 0.500 0.500 0.000 (multiplicity 1)
P: 0.000 0.500 0.500 (multiplicity 2)

E_form (uncorrected) = 0.129 eV/atom
spin magnetization = 0.000 μB per atom
theoretical density = 4.69 g cm⁻³
relative energy among the computed polymorphs = 0.00 eV/f.u.
E_tot = -0.159 hartree per atom



This record from Alexandria describes a relaxed MgSb2TeP crystal. The functional is PBEsol.

Cell lengths 5.237, 5.237, 5.196 Å; angles 90.00, 90.00, 90.00 degrees
Space group P4/mmm (No. 123)
One atom of each set of equivalent atoms:
Mg: 0.000 0.000 0.000 (multiplicity 1)
Sb: 0.000 0.500 0.000 (multiplicity 2)
Te: 0.000 0.000 0.500 (multiplicity 1)
P: 0.500 0.500 0.500 (multiplicity 1)

E_form (uncorrected) = 0.908 eV/atom
spin magnetization = 0.000 μB per atom
theoretical density = 4.97 g cm⁻³
E_tot = -0.115 hartree per atom



This record from Alexandria describes a relaxed MgScP4 crystal. The functional is PBEsol.

Cell lengths 7.237, 7.237, 7.237 Å; angles 90.00, 90.00, 90.00 degrees
Space group F-43m (No. 216)
One atom of each set of equivalent atoms:
Mg: 0.000 0.000 0.000 (multiplicity 4)
Sc: 0.250 0.250 0.250 (multiplicity 4)
P: 0.126 0.126 0.626 (multiplicity 16)

spin magnetization = 0.000 μB per atom
energy of formation from the pure elements = -34.1 kJ/mol of formula units
theoretical density = 3.39 g cm⁻³
E_tot = -0.195 hartree per atom



This record from Alexandria describes a relaxed Mg3ScP crystal. The functional is PBEsol.

Cell lengths 5.402, 5.402, 5.402 Å; angles 90.00, 90.00, 90.00 degrees
Space group Pm-3m (No. 221)
One atom of each set of equivalent atoms:
Mg: 0.000 0.000 0.500 (multiplicity 3)
Sc: 0.000 0.000 0.000 (multiplicity 1)
P: 0.500 0.500 0.500 (multiplicity 1)

spin magnetization = 0.000 μB per atom
energy of formation from the pure elements = 644.4 kJ/mol of formula units
theoretical density = 1.57 g cm⁻³
E_tot = -0.080 hartree per atom



This record from Alexandria describes a relaxed Mg2ScP crystal. The functional is PBEsol.

Cell lengths 3.984, 3.984, 4.597 Å; angles 90.00, 90.00, 90.00 degrees
Space group P4/mmm (No. 123)
One atom of each set of equivalent atoms:
Mg: 0.000 0.500 0.000 (multiplicity 2)
Sc: 0.000 0.000 0.500 (multiplicity 1)
P: 0.500 0.500 0.500 (multiplicity 1)

spin magnetization = 0.000 μB per atom
energy of formation from the pure elements = -155.0 kJ/mol of formula units
theoretical density = 2.83 g cm⁻³
E_tot = -0.160 hartree per atom



This record from Alexandria describes a relaxed Mg2ScP crystal. The functional is PBEsol.

Cell lengths 8.150, 8.150, 5.207 Å; angles 90.00, 90.00, 90.00 degrees
Space group I-42d (No. 122)
One atom of each set of equivalent atoms:
Mg: 0.177 0.750 0.125 (multiplicity 8)
Sc: 0.000 0.000 0.500 (multiplicity 4)
P: 0.000 0.000 0.000 (multiplicity 4)

spin magnetization = 0.000 μB per atom
energy of formation from the pure elements = -127.1 kJ/mol of formula units
theoretical density = 2.39 g cm⁻³
E_tot = -0.158 hartree per atom



This record from Alexandria describes a relaxed MgP2Se crystal. The functional is PBEsol.

Cell lengths 4.620, 4.620, 3.150 Å; angles 90.00, 90.00, 90.00 degrees
Space group P4/mmm (No. 123)
One atom of each set of equivalent atoms:
Mg: 0.000 0.000 0.000 (multiplicity 1)
P: 0.000 0.500 0.500 (multiplicity 2)
Se: 0.500 0.500 0.000 (multiplicity 1)

E_form (uncorrected) = 0.194 eV/atom
spin magnetization = 0.000 μB per atom
theoretical density = 4.08 g cm⁻³
relative energy among the computed polymorphs = 2.12 eV/f.u.
E_tot = -0.150 hartree per atom



This record from Alexandria describes a relaxed MgP2Se crystal. The functional is PBEsol.

Cell lengths 3.510, 3.510, 6.154 Å; angles 90.00, 90.00, 90.00 degrees
Space group P4/mmm (No. 123)
One atom of each set of equivalent atoms:
Mg: 0.000 0.000 0.000 (multiplicity 1)
P: 0.000 0.500 0.500 (multiplicity 2)
Se: 0.500 0.500 0.000 (multiplicity 1)

E_form (uncorrected) = -0.036 eV/atom
spin magnetization = 0.000 μB per atom
theoretical density = 3.62 g cm⁻³
relative energy among the computed polymorphs = 1.20 eV/f.u.
E_tot = -0.159 hartree per atom



This record from Alexandria describes a relaxed MgP2Se crystal. The functional is PBEsol.

Cell lengths 3.648, 3.648, 5.458 Å; angles 90.00, 90.00, 90.00 degrees
Space group P4mm (No. 99)
One atom of each set of equivalent atoms:
Mg: 0.000 0.000 0.000 (multiplicity 1)
P: 0.000 0.000 0.477 (multiplicity 1)
P: 0.500 0.500 0.511 (multiplicity 1)
Se: 0.500 0.500 0.938 (multiplicity 1)

E_form (uncorrected) = -0.336 eV/atom
spin magnetization = 0.000 μB per atom
theoretical density = 3.78 g cm⁻³
relative energy among the computed polymorphs = 0.00 eV/f.u.
E_tot = -0.170 hartree per atom



This record from Alexandria describes a relaxed Mg2PSe crystal. The functional is PBEsol.

Cell lengths 3.926, 3.495, 11.881 Å; angles 90.00, 90.00, 90.00 degrees
Space group Amm2 (No. 38)
One atom of each set of equivalent atoms:
Mg: 0.000 0.000 0.000 (multiplicity 2)
Mg: 0.500 0.000 0.299 (multiplicity 2)
P: 0.000 0.000 0.779 (multiplicity 2)
Se: 0.500 0.000 0.531 (multiplicity 2)

E_form (uncorrected) = -0.566 eV/atom
spin magnetization = 0.000 μB per atom
theoretical density = 3.23 g cm⁻³
E_tot = -0.141 hartree per atom



This record from Alexandria describes a relaxed Mg2PSe crystal. The functional is PBEsol.

Cell lengths 3.739, 3.739, 10.904 Å; angles 90.00, 90.00, 90.00 degrees
Space group I-4m2 (No. 119)
One atom of each set of equivalent atoms:
Mg: 0.000 0.000 0.000 (multiplicity 2)
Mg: 0.000 0.500 0.250 (multiplicity 2)
P: 0.000 0.000 0.500 (multiplicity 2)
Se: 0.000 0.500 0.750 (multiplicity 2)

E_form (uncorrected) = -0.413 eV/atom
spin magnetization = 0.000 μB per atom
theoretical density = 3.45 g cm⁻³
E_tot = -0.135 hartree per atom



This record from Alexandria describes a relaxed MgSiP2 crystal. The functional is PBEsol.

Cell lengths 9.703, 3.723, 3.907 Å; angles 90.00, 101.98, 90.00 degrees
Space group Cm (No. 8)
One atom of each set of equivalent atoms:
Mg: 0.000 0.000 0.000 (multiplicity 2)
Si: 0.251 0.000 0.774 (multiplicity 2)
P: 0.073 0.500 0.508 (multiplicity 2)
P: 0.292 0.500 0.422 (multiplicity 2)

E_form (uncorrected) = 0.003 eV/atom
spin magnetization = 0.000 μB per atom
theoretical density = 2.75 g cm⁻³
relative energy among the computed polymorphs = 1.60 eV/f.u.
E_tot = -0.175 hartree per atom



This record from Alexandria describes a relaxed MgSiP crystal. The functional is PBEsol.

Cell lengths 6.130, 6.130, 6.130 Å; angles 90.00, 90.00, 90.00 degrees
Space group F-43m (No. 216)
One atom of each set of equivalent atoms:
Mg: 0.000 0.000 0.000 (multiplicity 4)
Si: 0.250 0.250 0.250 (multiplicity 4)
P: 0.000 0.000 0.500 (multiplicity 4)

E_form (uncorrected) = 0.334 eV/atom
spin magnetization = 0.000 μB per atom
theoretical density = 2.40 g cm⁻³
E_tot = -0.150 hartree per atom



This record from Alexandria describes a relaxed MgSiP2 crystal. The functional is PBEsol.

Cell lengths 3.4784, 3.4784, 18.7722 Å; angles 90.00, 90.00, 120.00 degrees
Space group R-3m (No. 166, hexagonal axes)
One atom of each set of equivalent atoms:
Mg: 0.0000 0.0000 0.0000 (multiplicity 3)
Si: 0.0000 0.0000 0.5000 (multiplicity 3)
P: 0.0000 0.0000 0.2374 (multiplicity 6)

E_form (uncorrected) = -0.251 eV/atom
spin magnetization = 0.000 μB per atom
theoretical density = 2.90 g cm⁻³
relative energy among the computed polymorphs = 0.59 eV/f.u.
E_tot = -0.184 hartree per atom



This record from Alexandria describes a relaxed MgSiP2 crystal. The functional is PBEsol.

Cell lengths 2.679, 3.438, 6.884 Å; angles 90.00, 90.00, 90.00 degrees
Space group Pmmm (No. 47)
One atom of each set of equivalent atoms:
Mg: 0.000 0.000 0.000 (multiplicity 1)
Si: 0.500 0.000 0.500 (multiplicity 1)
P: 0.500 0.500 0.251 (multiplicity 2)

E_form (uncorrected) = -0.067 eV/atom
spin magnetization = 0.000 μB per atom
theoretical density = 2.99 g cm⁻³
relative energy among the computed polymorphs = 1.32 eV/f.u.
E_tot = -0.177 hartree per atom